VASP calculation (PBE with a Hubbard U) on a relaxed structure of KFePCO7.

a b c (Å): 5.3114 6.4251 10.4237
angles (deg): 90.00 91.20 90.00
Positions (direct):
K1 0.2378 0.0000 0.2699
K2 0.7622 0.5000 0.7301
Fe1 0.2135 0.1177 0.8702
Fe2 0.7865 0.6177 0.1298
P1 0.2804 0.6228 0.9406
P2 0.7196 0.1228 0.0594
C1 0.2872 0.1253 0.6293
C2 0.7128 0.6253 0.3707
O1 0.0638 0.1296 0.6772
O2 0.1252 0.6268 0.0643
O3 0.2189 0.8119 0.8542
O4 0.2214 0.4304 0.8558
O5 0.3259 0.1221 0.5110
O6 0.4340 0.1208 0.0219
O7 0.4690 0.1257 0.7151
O8 0.5310 0.6257 0.2849
O9 0.5660 0.6208 0.9781
O10 0.6741 0.6221 0.4890
O11 0.7786 0.9304 0.1442
O12 0.7811 0.3119 0.1458
O13 0.8748 0.1268 0.9357
O14 0.9362 0.6296 0.3228

The value obtained for the total energy is -6.81 eV/atom. The magnetic moment is 8.2 Bohr magnetons per cell. As for the density of states at the Fermi level: 8.0 states/eV/cell. Its space group is No. 4.